1.
DFT (PBE-GGA) results for a relaxed structure of Pr2HfMoN5.

Cell: 3.4287 13.6940 10.6464 Å, 90.00 90.00 90.00°
Space group Cmc2_1 (No. 36)
Unique sites:
Pr1 0.0000 0.1111 0.0000
Pr2 0.0000 0.1467 0.6115
Hf1 0.0000 0.2156 0.3240
Mo1 0.0000 0.4733 0.7678
N1 0.0000 0.0462 0.3515
N2 0.0000 0.2840 0.9621
N3 0.0000 0.3200 0.6962
N4 0.0000 0.3695 0.3129
N5 0.0000 0.4913 0.0995

Properties
Total magnetic moment: 0.01 μB/f.u.
Total DFT energy (no corrections): -9.15 eV per atom



2.
DFT (PBE-GGA) results for a relaxed structure of LaPr2NdTm4.

Cell: 12.4973 7.2189 12.3454 Å, 90.00 109.71 90.00°
Space group C2/m (No. 12)
Unique sites:
La1 0.2500 0.2500 0.0000
Pr1 0.0000 0.0000 0.0000
Pr2 0.0000 0.0000 0.5000
Pr3 0.2500 0.2500 0.5000
Nd1 0.0000 0.5000 0.0000
Nd2 0.0000 0.5000 0.5000
Tm1 0.0003 0.2500 0.2506
Tm2 0.2503 0.0000 0.2509
Tm3 0.2498 0.0000 0.7492

Properties
Total magnetic moment: 0.00 μB/f.u.
Total DFT energy (no corrections): -4.63 eV per atom



3.
DFT (PBE-GGA) results for a relaxed structure of HfTi2VC.

Cell: 4.2927 4.2927 4.0825 Å, 90.00 90.00 90.00°
Space group P4/mmm (No. 123)
Unique sites:
Hf1 0.0000 0.0000 0.0000
Ti1 0.0000 0.5000 0.5000
V1 0.5000 0.5000 0.0000
C1 0.5000 0.5000 0.5000

Properties
Total magnetic moment: 0.00 μB/f.u.
Total DFT energy (no corrections): -9.02 eV per atom



4.
DFT (PBE-GGA) results for a relaxed structure of NbPd2Rh.

Cell: 7.1842 7.1842 5.2884 Å, 90.00 90.00 90.00°
Space group I-42d (No. 122)
Unique sites:
Nb1 0.0000 0.0000 0.0000
Pd1 0.2364 0.2500 0.1250
Rh1 0.0000 0.0000 0.5000

Properties
Total magnetic moment: 0.00 μB/f.u.
Total DFT energy (no corrections): -6.79 eV per atom



5.
DFT (PBE-GGA) results for a relaxed structure of K2TaHgSe4.

Cell: 7.0011 13.4947 24.3538 Å, 90.00 90.00 90.00°
Space group Fddd (No. 70, origin choice 2)
Unique sites:
K1 0.1250 0.1250 0.3111
Ta1 0.1250 0.1250 0.6250
Hg1 0.1250 0.1250 0.1250
Se1 0.0819 0.2717 0.8188

Properties
Total magnetic moment: 0.00 μB/f.u.
Total DFT energy (no corrections): -4.28 eV per atom



6.
DFT (PBE-GGA) results for a relaxed structure of CaYRe2.

Cell: 5.7955 9.8025 2.8571 Å, 90.00 107.12 90.00°
Space group C2/m (No. 12)
Unique sites:
Ca1 0.0000 0.0000 0.0000
Y1 0.0000 0.5000 0.0000
Re1 0.2500 0.2500 0.5000

Properties
Total magnetic moment: 0.00 μB/f.u.
Total DFT energy (no corrections): -7.62 eV per atom
Energy relative to the lowest polymorph listed for this composition: 0.537 eV/atom